Record 1
{
  "formula": "ErGa3Ag2",
  "functional": "PBE",
  "state": "optimized geometry",
  "e_tot_ev_per_cell": -41.39,
  "crystal_system": "orthorhombic",
  "sg": "Cmcm",
  "cell": [[-2.774, -2.225, 4.671], [-0.282, -5.712, -2.888], [5.450, -2.770, 1.918]],
  "species": ["Ga", "Ga", "Ag", "Ag", "Ag", "Ga", "Ga", "Ga", "Er", "Ga", "Er", "Ag"],
  "frac_coords": [[0.250, 0.575, 0.163], [0.750, 0.425, 0.837], [0.500, 0.231, 0.231], [0.000, 0.231, 0.231], [0.500, 0.769, 0.769], [0.750, 0.163, 0.575], [0.750, 0.015, 0.985], [0.250, 0.837, 0.425], [0.750, 0.655, 0.345], [0.250, 0.985, 0.015], [0.250, 0.345, 0.655], [0.000, 0.769, 0.769]]
}

***

Record 2
{
  "formula": "V6CoW2",
  "functional": "PBE",
  "state": "optimized geometry",
  "e_tot_ev_per_cell": -88.06,
  "crystal_system": "monoclinic",
  "sg": "C2/m",
  "cell": [[-1.731, 1.187, -1.618], [-0.232, -2.879, 1.069], [-11.422, 5.993, 13.714]],
  "species": ["W", "V", "V", "V", "W", "V", "V", "V", "Co"],
  "frac_coords": [[0.042, 0.076, 0.327], [0.472, 0.292, 0.900], [0.924, 0.517, 0.445], [0.161, 0.635, 0.209], [0.698, 0.405, 0.673], [0.269, 0.189, 0.100], [0.580, 0.846, 0.792], [0.816, 0.964, 0.555], [0.371, 0.741, 0.000]]
}

***

Record 3
{
  "formula": "Ca3ZrO",
  "functional": "PBE",
  "state": "optimized geometry",
  "e_above_lowest_polymorph_mev_per_atom": 1839,
  "e_tot_ev_per_cell": -13.82,
  "crystal_system": "cubic",
  "sg": "Pm-3m",
  "cell": [[6.000, 0.000, 0.000], [0.000, 6.000, 0.000], [0.000, 0.000, 6.000]],
  "species": ["Zr", "Ca", "Ca", "O", "Ca"],
  "frac_coords": [[0.000, 0.000, 0.000], [0.500, 0.000, 0.000], [0.000, 0.500, 0.000], [0.500, 0.500, 0.500], [0.000, 0.000, 0.500]]
}

***

Record 4
{
  "formula": "CuHgSe2",
  "functional": "PBE",
  "state": "optimized geometry",
  "e_tot_ev_per_cell": -9.43,
  "crystal_system": "cubic",
  "sg": "F-43m",
  "cell": [[4.838, 0.000, 0.000], [2.419, 4.190, 0.000], [2.419, 1.397, 3.950]],
  "species": ["Hg", "Se", "Se", "Cu"],
  "frac_coords": [[0.750, 0.750, 0.750], [0.000, 0.000, 0.000], [0.250, 0.250, 0.250], [0.500, 0.500, 0.500]]
}

***

Record 5
{
  "formula": "Pu3ThH",
  "functional": "PBE",
  "state": "optimized geometry",
  "e_tot_ev_per_cell": -53.48,
  "crystal_system": "cubic",
  "sg": "Pm-3m",
  "cell": [[-4.261, 1.435, -1.877], [0.112, -3.744, -3.117], [-2.360, -2.769, 3.241]],
  "species": ["Pu", "Th", "H", "Pu", "Pu"],
  "frac_coords": [[0.000, 0.000, 0.500], [0.500, 0.500, 0.500], [0.000, 0.000, 0.000], [0.000, 0.500, 0.000], [0.500, 0.000, 0.000]]
}

***

Record 6
{
  "formula": "Pr2NdY",
  "functional": "PBE",
  "state": "optimized geometry",
  "e_above_lowest_polymorph_mev_per_atom": 0,
  "e_tot_ev_per_cell": -20.74,
  "crystal_system": "tetragonal",
  "sg": "P4/mmm",
  "cell": [[5.182, 0.000, 0.000], [0.000, 5.193, 0.000], [0.000, 0.000, 5.193]],
  "species": ["Pr", "Pr", "Y", "Nd"],
  "frac_coords": [[0.000, 0.500, 0.000], [0.000, 0.000, 0.500], [0.500, 0.000, 0.000], [0.500, 0.500, 0.500]]
}

***

Record 7
{
  "formula": "Pm4InAu",
  "functional": "PBE",
  "state": "optimized geometry",
  "e_above_lowest_polymorph_mev_per_atom": 130,
  "e_tot_ev_per_cell": -53.49,
  "crystal_system": "orthorhombic",
  "sg": "Cmc2_1",
  "cell": [[5.541, 0.000, 0.000], [0.000, 6.519, 0.000], [-2.770, 0.000, 10.856]],
  "species": ["Au", "Au", "Pm", "Pm", "Pm", "Pm", "Pm", "In", "Pm", "Pm", "In", "Pm"],
  "frac_coords": [[0.576, 0.833, 0.153], [0.424, 0.333, 0.847], [0.286, 0.055, 0.571], [0.885, 0.304, 0.770], [0.115, 0.804, 0.230], [0.714, 0.555, 0.429], [0.695, 0.073, 0.389], [0.155, 0.318, 0.310], [0.305, 0.573, 0.611], [0.558, 0.350, 0.116], [0.845, 0.818, 0.690], [0.442, 0.850, 0.884]]
}

***

Record 8
{
  "formula": "Cd3BiTe",
  "functional": "PBE",
  "state": "optimized geometry",
  "e_above_lowest_polymorph_mev_per_atom": 0,
  "e_tot_ev_per_cell": -8.25,
  "crystal_system": "cubic",
  "sg": "Pm-3m",
  "cell": [[-2.166, -2.908, 4.363], [-0.917, -4.437, -3.413], [5.162, -2.009, 1.225]],
  "species": ["Bi", "Cd", "Cd", "Cd", "Te"],
  "frac_coords": [[0.000, 0.000, 0.000], [0.000, 0.500, 0.000], [0.000, 0.000, 0.500], [0.500, 0.000, 0.000], [0.500, 0.500, 0.500]]
}

***

Q: Which formula does entry 2 have?
A: V6CoW2

***

Copy entry 5 word for word.
{
  "formula": "Pu3ThH",
  "functional": "PBE",
  "state": "optimized geometry",
  "e_tot_ev_per_cell": -53.48,
  "crystal_system": "cubic",
  "sg": "Pm-3m",
  "cell": [[-4.261, 1.435, -1.877], [0.112, -3.744, -3.117], [-2.360, -2.769, 3.241]],
  "species": ["Pu", "Th", "H", "Pu", "Pu"],
  "frac_coords": [[0.000, 0.000, 0.500], [0.500, 0.500, 0.500], [0.000, 0.000, 0.000], [0.000, 0.500, 0.000], [0.500, 0.000, 0.000]]
}